1.
Below is a crystal of Ca2TaZn relaxed with PBEsol, with properties calculated at the meta-GGA SCAN level.

The structure belongs to space group F-43m (No. 216); the cell edges are 7.101, 7.101 and 7.101 Å and the angles 90.00°, 90.00° and 90.00°. Symmetry generates all atoms from Ca at (0.000, 0.000, 0.000), Ca at (0.250, 0.250, 0.250), Ta at (0.000, 0.000, 0.500) and Zn at (0.250, 0.250, 0.750).

As for the total energy: -24.145 eV/atom. Its theoretical density is 6.1 Mg/m³. The formation energy is 0.71 eV per atom. The total magnetization comes out at 0.676 μB/atom.

2.
Below is a crystal of CsPH4N2O2 relaxed with PBEsol, with properties calculated at the meta-GGA SCAN level.

The structure belongs to space group P4_32_12 (No. 96); the cell edges are 5.485, 5.485 and 15.468 Å and the angles 90.00°, 90.00° and 90.00°. Symmetry generates all atoms from Cs at (0.131, 0.131, 0.000), P at (0.091, 0.909, 0.250), H at (0.017, 0.383, 0.440), H at (0.217, 0.227, 0.614), N at (0.125, 0.698, 0.171) and O at (0.136, 0.153, 0.207).

As for the total energy: -10.506 eV/atom. Its theoretical density is 3.3 Mg/m³. The total magnetization comes out at 0.000 μB/atom.